## CeDyErTm (PBE)

Data for CeDyErTm after structural relaxation.

Cell: 5.614 5.614 5.614 Å, 60.00 60.00 60.00°
Site moments in Bohr magnetons follow the coordinates.
Fractional positions:
Tm  0.000  0.000  0.000  0.09
Dy  0.500  0.500  0.500  0.10
Ce  0.750  0.750  0.750  0.70
Er  0.250  0.250  0.250  0.10

Values from the calculation:
space-group type: F-43m (216)
electronic total energy: -0.1736 hartree per atom
V: 31.3 A^3/atom
formation enthalpy at 0 K: 0.167 eV/atom